A geometry-optimized Zn2Ga2Ru structure. Source: Alexandria via LeMat-Bulk, functional GGA-PBE.

The structure belongs to space group P4/mbm (No. 127); the cell edges are 6.7158, 6.7158 and 3.4356 Å and the angles 90.00°, 90.00° and 90.00°. The asymmetric unit holds Zn at (0.1581, 0.3419, 0.0000), Ga at (0.1449, 0.6449, 0.5000) and Ru at (0.0000, 0.0000, 0.5000).

The calculated formation energy is 95 meV per atom. The total energy is -34.81 eV per cell. The calculation puts the theoretical density at 8.0 Mg/m³.

=====

A geometry-optimized ZnGaRu2 structure. Source: Alexandria via LeMat-Bulk, functional GGA-PBE.

The structure belongs to space group R-3m (No. 166, hexagonal axes); the cell edges are 2.8340, 2.8340 and 24.6457 Å and the angles 90.00°, 90.00° and 120.00°. The asymmetric unit holds Zn at (0.0000, 0.0000, 0.0000), Ga at (0.0000, 0.0000, 0.5000) and Ru at (0.0000, 0.0000, 0.2483).

The calculated formation energy is -44 meV per atom. The total energy is -69.08 eV per cell. The calculation puts the theoretical density at 9.8 Mg/m³.

=====

A geometry-optimized ZrZn2GaRu structure. Source: Alexandria via LeMat-Bulk, functional GGA-PBE.

The structure belongs to space group P4/mmm (No. 123); the cell edges are 4.7196, 4.7196 and 4.6803 Å and the angles 90.00°, 90.00° and 90.00°. The asymmetric unit holds Zr at (0.0000, 0.0000, 0.0000), Zn at (0.0000, 0.5000, 0.5000), Ga at (0.5000, 0.5000, 0.0000) and Ru at (0.5000, 0.5000, 0.5000).

The calculated formation energy is 299 meV per atom. The total energy is -21.90 eV per cell. The calculation puts the theoretical density at 6.3 Mg/m³.

=====

A geometry-optimized Zr2GaRu structure. Source: Alexandria via LeMat-Bulk, functional GGA-PBE.

The structure belongs to space group P4/mmm (No. 123); the cell edges are 3.3660, 3.3660 and 6.4919 Å and the angles 90.00°, 90.00° and 90.00°. The asymmetric unit holds Zr at (0.0000, 0.0000, 0.2410), Ga at (0.5000, 0.5000, 0.5000) and Ru at (0.5000, 0.5000, 0.0000).

The calculated formation energy is -504 meV per atom. The total energy is -31.41 eV per cell. The calculation puts the theoretical density at 8.0 Mg/m³.

=====

A geometry-optimized ZrGaRu structure. Source: Alexandria via LeMat-Bulk, functional GGA-PBE.

The structure belongs to space group P3m1 (No. 156); the cell edges are 4.3716, 4.3716 and 3.1555 Å and the angles 90.00°, 90.00° and 120.00°. The asymmetric unit holds Zr at (0.0000, 0.0000, 0.0000), Ga at (0.3333, 0.6667, 0.5126) and Ru at (0.6667, 0.3333, 0.5656).

The calculated formation energy is -457 meV per atom. The total energy is -22.22 eV per cell. The calculation puts the theoretical density at 8.3 Mg/m³.

=====

A geometry-optimized ZrGa3Ru structure. Source: Alexandria via LeMat-Bulk, functional GGA-PBE.

The structure belongs to space group Pm-3m (No. 221); the cell edges are 4.9846, 4.9846 and 4.9846 Å and the angles 90.00°, 90.00° and 90.00°. The asymmetric unit holds Zr at (0.0000, 0.0000, 0.0000), Ga at (0.0000, 0.0000, 0.5000) and Ru at (0.5000, 0.5000, 0.5000).

The calculated formation energy is 1295 meV per atom. The total energy is -20.43 eV per cell. The calculation puts the theoretical density at 5.4 Mg/m³.

=====

A geometry-optimized ZrGaRu2 structure. Source: Alexandria via LeMat-Bulk, functional GGA-PBE.

The structure belongs to space group P4/mmm (No. 123); the cell edges are 4.3769, 4.3769 and 3.2741 Å and the angles 90.00°, 90.00° and 90.00°. The asymmetric unit holds Zr at (0.0000, 0.0000, 0.0000), Ga at (0.5000, 0.5000, 0.0000) and Ru at (0.0000, 0.5000, 0.5000).

The calculated formation energy is -540 meV per atom. The total energy is -32.28 eV per cell. The calculation puts the theoretical density at 9.6 Mg/m³.

=====

A geometry-optimized ZrGa2Ru structure. Source: Alexandria via LeMat-Bulk, functional GGA-PBE.

The structure belongs to space group I-42d (No. 122); the cell edges are 3.8390, 3.8390 and 19.6179 Å and the angles 90.00°, 90.00° and 90.00°. The asymmetric unit holds Zr at (0.0000, 0.0000, 0.0000), Ga at (0.2390, 0.2500, 0.6250) and Ru at (0.0000, 0.0000, 0.5000).

The calculated formation energy is -134 meV per atom. The total energy is -97.65 eV per cell. The calculation puts the theoretical density at 7.6 Mg/m³.

=====

A geometry-optimized Zr2Ga2Ru3 structure. Source: Alexandria via LeMat-Bulk, functional GGA-PBE.

The structure belongs to space group C2/m (No. 12); the cell edges are 7.9404, 4.5603 and 7.5324 Å and the angles 90.00°, 120.80° and 90.00°. The asymmetric unit holds Zr at (0.2488, 0.0000, 0.1651), Ga at (0.1930, 0.5000, 0.3905), Ru at (0.0000, 0.5000, 0.0000) and Ru at (0.0312, 0.0000, 0.7234).

The calculated formation energy is -507 meV per atom. The total energy is -109.06 eV per cell. The calculation puts the theoretical density at 8.9 Mg/m³.

=====

A geometry-optimized ZrGa5Ru6 structure. Source: Alexandria via LeMat-Bulk, functional GGA-PBE.

The structure belongs to space group Cmmm (No. 65); the cell edges are 4.3605, 13.0161 and 6.1474 Å and the angles 90.00°, 90.00° and 90.00°. The asymmetric unit holds Zr at (0.0000, 0.0000, 0.0000), Ga at (0.0000, 0.0000, 0.5000), Ga at (0.0000, 0.3354, 0.5000), Ga at (0.0000, 0.3387, 0.0000), Ru at (0.0000, 0.1740, 0.2546) and Ru at (0.0000, 0.5000, 0.2662).

The calculated formation energy is -407 meV per atom. The total energy is -168.44 eV per cell. The calculation puts the theoretical density at 10.0 Mg/m³.

=====

A geometry-optimized Zr6GaRu5 structure. Source: Alexandria via LeMat-Bulk, functional GGA-PBE.

The structure belongs to space group Immm (No. 71); the cell edges are 4.6594, 6.5982 and 13.9743 Å and the angles 90.00°, 90.00° and 90.00°. The asymmetric unit holds Zr at (0.0000, 0.2444, 0.0000), Zr at (0.0000, 0.2523, 0.3316), Ga at (0.0000, 0.0000, 0.5000), Ru at (0.0000, 0.0000, 0.1676), Ru at (0.0000, 0.5000, 0.1663) and Ru at (0.0000, 0.5000, 0.5000).

The calculated formation energy is -571 meV per atom. The total energy is -215.09 eV per cell. The calculation puts the theoretical density at 8.7 Mg/m³.

=====

A geometry-optimized ZrGaRu3 structure. Source: Alexandria via LeMat-Bulk, functional GGA-PBE.

The structure belongs to space group Pm-3m (No. 221); the cell edges are 4.7888, 4.7888 and 4.7888 Å and the angles 90.00°, 90.00° and 90.00°. The asymmetric unit holds Zr at (0.0000, 0.0000, 0.0000), Ga at (0.5000, 0.5000, 0.5000) and Ru at (0.0000, 0.0000, 0.5000).

The calculated formation energy is 1562 meV per atom. The total energy is -31.59 eV per cell. The calculation puts the theoretical density at 7.0 Mg/m³.

=====

A geometry-optimized ZrGaRu3 structure. Source: Alexandria via LeMat-Bulk, functional GGA-PBE.

The structure belongs to space group Pm-3m (No. 221); the cell edges are 4.5602, 4.5602 and 4.5602 Å and the angles 90.00°, 90.00° and 90.00°. The asymmetric unit holds Zr at (0.0000, 0.0000, 0.0000), Ga at (0.5000, 0.5000, 0.5000) and Ru at (0.0000, 0.5000, 0.5000).

The calculated formation energy is 611 meV per atom. The total energy is -36.35 eV per cell. The calculation puts the theoretical density at 8.1 Mg/m³.

=====

A geometry-optimized Zr3Ga3Ru structure. Source: Alexandria via LeMat-Bulk, functional GGA-PBE.

The structure belongs to space group C2/m (No. 12); the cell edges are 10.4735, 3.8302 and 13.7956 Å and the angles 90.00°, 108.31° and 90.00°. The asymmetric unit holds Zr at (0.0231, 0.0000, 0.3771), Zr at (0.1164, 0.0000, 0.9264), Zr at (0.2361, 0.0000, 0.2368), Ga at (0.0111, 0.5000, 0.2235), Ga at (0.1118, 0.5000, 0.0751), Ga at (0.1277, 0.5000, 0.5384) and Ru at (0.2244, 0.5000, 0.3839).

The calculated formation energy is -566 meV per atom. The total energy is -191.86 eV per cell. The calculation puts the theoretical density at 7.4 Mg/m³.

=====

A geometry-optimized Zr2GaRu structure. Source: Alexandria via LeMat-Bulk, functional GGA-PBE.

The structure belongs to space group R-3m (No. 166, hexagonal axes); the cell edges are 3.2997, 3.2997 and 24.8662 Å and the angles 90.00°, 90.00° and 120.00°. The asymmetric unit holds Zr at (0.0000, 0.0000, 0.2448), Ga at (0.0000, 0.0000, 0.0000) and Ru at (0.0000, 0.0000, 0.5000).

The calculated formation energy is -264 meV per atom. The total energy is -91.36 eV per cell. The calculation puts the theoretical density at 7.5 Mg/m³.

=====

A geometry-optimized ZrGa2Ru structure. Source: Alexandria via LeMat-Bulk, functional GGA-PBE.

The structure belongs to space group R-3m (No. 166, hexagonal axes); the cell edges are 4.2293, 4.2293 and 13.1166 Å and the angles 90.00°, 90.00° and 120.00°. The asymmetric unit holds Zr at (0.0000, 0.0000, 0.0000), Ga at (0.0000, 0.0000, 0.2280) and Ru at (0.0000, 0.0000, 0.5000).

The calculated formation energy is -406 meV per atom. The total energy is -76.50 eV per cell. The calculation puts the theoretical density at 8.1 Mg/m³.

=====

A geometry-optimized ZrGa2Ru structure. Source: Alexandria via LeMat-Bulk, functional GGA-PBE.

The structure belongs to space group P4/mmm (No. 123); the cell edges are 3.9610, 3.9610 and 4.2180 Å and the angles 90.00°, 90.00° and 90.00°. The asymmetric unit holds Zr at (0.0000, 0.0000, 0.0000), Ga at (0.0000, 0.5000, 0.5000) and Ru at (0.5000, 0.5000, 0.0000).

The calculated formation energy is -380 meV per atom. The total energy is -25.40 eV per cell. The calculation puts the theoretical density at 8.3 Mg/m³.

=====

A geometry-optimized ZrGaRu2 structure. Source: Alexandria via LeMat-Bulk, functional GGA-PBE.

The structure belongs to space group I-42d (No. 122); the cell edges are 4.0260, 4.0260 and 17.6905 Å and the angles 90.00°, 90.00° and 90.00°. The asymmetric unit holds Zr at (0.0000, 0.0000, 0.0000), Ga at (0.0000, 0.0000, 0.5000) and Ru at (0.1834, 0.2500, 0.6250).

The calculated formation energy is 70 meV per atom. The total energy is -119.39 eV per cell. The calculation puts the theoretical density at 8.4 Mg/m³.

=====

A geometry-optimized ZrGa3Ru structure. Source: Alexandria via LeMat-Bulk, functional GGA-PBE.

The structure belongs to space group Pm-3m (No. 221); the cell edges are 4.7730, 4.7730 and 4.7730 Å and the angles 90.00°, 90.00° and 90.00°. The asymmetric unit holds Zr at (0.0000, 0.0000, 0.0000), Ga at (0.0000, 0.5000, 0.5000) and Ru at (0.5000, 0.5000, 0.5000).

The calculated formation energy is 165 meV per atom. The total energy is -26.08 eV per cell. The calculation puts the theoretical density at 6.1 Mg/m³.

=====

A geometry-optimized ZrGaRu structure. Source: Alexandria via LeMat-Bulk, functional GGA-PBE.

The structure belongs to space group Pnma (No. 62); the cell edges are 6.6402, 4.4429 and 7.0826 Å and the angles 90.00°, 90.00° and 90.00°. The asymmetric unit holds Zr at (0.0213, 0.2500, 0.1957), Ga at (0.2134, 0.2500, 0.6071) and Ru at (0.1646, 0.7500, 0.4444).

The calculated formation energy is -560 meV per atom. The total energy is -90.12 eV per cell. The calculation puts the theoretical density at 8.3 Mg/m³.

=====

A geometry-optimized Zr2Ga3Ru4 structure. Source: Alexandria via LeMat-Bulk, functional GGA-PBE.

The structure belongs to space group P-1 (No. 2); the cell edges are 4.3871, 4.5825 and 8.1471 Å and the angles 95.85°, 90.19° and 118.60°. The asymmetric unit holds Zr at (0.1895, 0.3757, 0.2252), Ga at (0.1392, 0.2841, 0.5775), Ga at (0.5000, 0.0000, 0.0000), Ru at (0.1509, 0.3035, 0.8929) and Ru at (0.4610, 0.9264, 0.6505).

The calculated formation energy is -477 meV per atom. The total energy is -67.58 eV per cell. The calculation puts the theoretical density at 9.3 Mg/m³.

=====

A geometry-optimized ZrGaRu2 structure. Source: Alexandria via LeMat-Bulk, functional GGA-PBE.

The structure belongs to space group Immm (No. 71); the cell edges are 2.8514, 4.6514 and 10.3417 Å and the angles 90.00°, 90.00° and 90.00°. The asymmetric unit holds Zr at (0.0000, 0.0000, 0.0000), Ga at (0.0000, 0.0000, 0.5000) and Ru at (0.0000, 0.0000, 0.2757).

The calculated formation energy is 298 meV per atom. The total energy is -57.87 eV per cell. The calculation puts the theoretical density at 8.8 Mg/m³.

=====

A geometry-optimized ZrGa3Ru4 structure. Source: Alexandria via LeMat-Bulk, functional GGA-PBE.

The structure belongs to space group R-3m (No. 166, hexagonal axes); the cell edges are 4.3962, 4.3962 and 21.2931 Å and the angles 90.00°, 90.00° and 120.00°. The asymmetric unit holds Zr at (0.0000, 0.0000, 0.0000), Ga at (0.0000, 0.0000, 0.2526), Ga at (0.0000, 0.0000, 0.5000), Ru at (0.0000, 0.0000, 0.1299) and Ru at (0.0000, 0.0000, 0.3793).

The calculated formation energy is -444 meV per atom. The total energy is -174.85 eV per cell. The calculation puts the theoretical density at 9.8 Mg/m³.

=====

A geometry-optimized Zr2Ga3Ru structure. Source: Alexandria via LeMat-Bulk, functional GGA-PBE.

The structure belongs to space group Immm (No. 71); the cell edges are 4.5136, 5.3953 and 9.1758 Å and the angles 90.00°, 90.00° and 90.00°. The asymmetric unit holds Zr at (0.0000, 0.0000, 0.1789), Ga at (0.0000, 0.5000, 0.1432), Ga at (0.0000, 0.5000, 0.5000) and Ru at (0.0000, 0.0000, 0.5000).

The calculated formation energy is -188 meV per atom. The total energy is -73.16 eV per cell. The calculation puts the theoretical density at 7.3 Mg/m³.

=====

A geometry-optimized ZrGaRu structure. Source: Alexandria via LeMat-Bulk, functional GGA-PBE.

The structure belongs to space group I4mm (No. 107); the cell edges are 3.1921, 3.1921 and 9.9643 Å and the angles 90.00°, 90.00° and 90.00°. The asymmetric unit holds Zr at (0.0000, 0.0000, 0.0000), Ga at (0.0000, 0.0000, 0.6957) and Ru at (0.0000, 0.0000, 0.3288).

The calculated formation energy is -478 meV per atom. The total energy is -44.57 eV per cell. The calculation puts the theoretical density at 8.6 Mg/m³.

=====

A geometry-optimized ZrGa2Ru structure. Source: Alexandria via LeMat-Bulk, functional GGA-PBE.

The structure belongs to space group P4/mmm (No. 123); the cell edges are 3.1167, 3.1167 and 6.7471 Å and the angles 90.00°, 90.00° and 90.00°. The asymmetric unit holds Zr at (0.0000, 0.0000, 0.0000), Ga at (0.5000, 0.5000, 0.2917) and Ru at (0.0000, 0.0000, 0.5000).

The calculated formation energy is -430 meV per atom. The total energy is -25.60 eV per cell. The calculation puts the theoretical density at 8.4 Mg/m³.